[1]
Computed, not measured: a relaxed structure of Na2PuAgI6 at the PBE level of DFT.

Geometry as CIF:
```
data_Na2PuAgI6
_cell_length_a 8.532
_cell_length_b 8.532
_cell_length_c 8.532
_cell_angle_alpha 55.21
_cell_angle_beta 55.21
_cell_angle_gamma 55.21
_space_group_name_H-M_alt 'P 1'
_space_group_IT_number 1
loop_
_space_group_symop_operation_xyz
'x,y,z'
loop_
_atom_site_label
_atom_site_type_symbol
_atom_site_fract_x
_atom_site_fract_y
_atom_site_fract_z
Na1 Na 0.000 0.000 0.000
Na2 Na 0.494 0.494 0.494
Pu1 Pu 0.809 0.809 0.809
Ag1 Ag 0.302 0.302 0.302
I1 I 0.069 0.425 0.691
I2 I 0.200 0.918 0.576
I3 I 0.425 0.691 0.069
I4 I 0.576 0.200 0.918
I5 I 0.691 0.069 0.425
I6 I 0.918 0.576 0.200
```

Calculated values
raw formation energy = -910 kJ/mol of formula units
DOS(E_F) = 12.3 states/eV per cell
theoretical density = 4.93 g/cm³
magnetization = 5.00 Bohr magnetons per cell

[2]
Computed, not measured: a relaxed structure of RbNaAgI2 at the PBE level of DFT.

Geometry as CIF:
```
data_RbNaAgI2
_cell_length_a 6.071
_cell_length_b 6.071
_cell_length_c 6.023
_cell_angle_alpha 90.00
_cell_angle_beta 90.00
_cell_angle_gamma 90.00
_space_group_name_H-M_alt 'P 1'
_space_group_IT_number 1
loop_
_space_group_symop_operation_xyz
'x,y,z'
loop_
_atom_site_label
_atom_site_type_symbol
_atom_site_fract_x
_atom_site_fract_y
_atom_site_fract_z
Rb1 Rb 0.000 0.000 0.000
Na1 Na 0.500 0.500 0.000
Ag1 Ag 0.000 0.000 0.500
I1 I 0.000 0.500 0.500
I2 I 0.500 0.000 0.500
```

Calculated values
polymorph energy (0 for the lowest one) = 0 meV per atom
raw formation energy = -179 kJ/mol of formula units
DOS(E_F) = 2.3 states/eV per cell
theoretical density = 3.52 g/cm³
magnetization = 0.00 Bohr magnetons per cell

[3]
Computed, not measured: a relaxed structure of RbNaAgI2 at the PBE level of DFT.

Geometry as CIF:
```
data_RbNaAgI2
_cell_length_a 5.953
_cell_length_b 5.953
_cell_length_c 6.342
_cell_angle_alpha 90.00
_cell_angle_beta 90.00
_cell_angle_gamma 90.00
_space_group_name_H-M_alt 'P 1'
_space_group_IT_number 1
loop_
_space_group_symop_operation_xyz
'x,y,z'
loop_
_atom_site_label
_atom_site_type_symbol
_atom_site_fract_x
_atom_site_fract_y
_atom_site_fract_z
Rb1 Rb 0.000 0.000 0.000
Na1 Na 0.000 0.000 0.500
Ag1 Ag 0.500 0.500 0.000
I1 I 0.000 0.500 0.500
I2 I 0.500 0.000 0.500
```

Calculated values
polymorph energy (0 for the lowest one) = 43 meV per atom
raw formation energy = -159 kJ/mol of formula units
DOS(E_F) = 2.1 states/eV per cell
theoretical density = 3.47 g/cm³
magnetization = 0.82 Bohr magnetons per cell